# NaZnInPt | Alexandria | PBE | optimized geometry
# Calculated volume, Å³/f.u.: 72
# E_form, eV per atom: -0.285
data_NaZnInPt
_symmetry_space_group_name_H-M 'F -4 3 m'
_symmetry_Int_Tables_number 216
_symmetry_space_group_name_Hall 'F -4 2 3'
_cell_length_a 6.5887
_cell_length_b 6.5887
_cell_length_c 6.5887
_cell_angle_alpha 90.00
_cell_angle_beta 90.00
_cell_angle_gamma 90.00
loop_
_atom_site_label
_atom_site_type_symbol
_atom_site_fract_x
_atom_site_fract_y
_atom_site_fract_z
Na1 Na 0.0000 0.0000 0.0000
Zn1 Zn 0.2500 0.2500 0.2500
In1 In 0.2500 0.2500 0.7500
Pt1 Pt 0.0000 0.0000 0.5000